# In2PbIO8 (PBE, optimized geometry)
data_In2PbIO8
_cell_length_a 6.831
_cell_length_b 7.100
_cell_length_c 6.791
_cell_angle_alpha 90.00
_cell_angle_beta 90.00
_cell_angle_gamma 90.00
_symmetry_space_group_name_H-M 'C m m m'
_symmetry_Int_Tables_number 65
_symmetry_space_group_name_Hall '-C 2 2'
loop_
_atom_site_label
_atom_site_type_symbol
_atom_site_fract_x
_atom_site_fract_y
_atom_site_fract_z
In1 In 0.000 0.000 0.247
Pb1 Pb 0.000 0.500 0.500
I1 I 0.000 0.500 0.000
O1 O 0.000 0.314 0.223
O2 O 0.191 0.000 0.500
O3 O 0.208 0.000 0.000
# Total moment   0.000 μB per cell
# E_form (uncorrected)   -0.91 eV/atom
# DFT total energy   -122.63 eV for the cell shown